(1)
This record from Alexandria describes crystalline Dy3Mn at its relaxed geometry. The functional is GGA-PBE.

Structure (extended XYZ):
```
4
Lattice="-1.3936 1.9738 -2.7755 -2.3833 -4.3663 -1.9085 -2.5465 2.3005 5.3541" Properties=species:S:1:pos:R:3 pbc="T T T"
Dy -3.5648 -1.1785 0.9518
Dy -1.6900 -0.8327 -2.1831
Dy -2.3609 1.8151 0.0368
Mn -2.1851 -4.0031 -1.7497
```

## Properties
ΔH_f (0 K): 0.156 eV/atom
total moment: 2.86 Bohr magnetons per cell

(2)
This record from Alexandria describes crystalline DyMn2 at its relaxed geometry. The functional is GGA-PBE.

Structure (extended XYZ):
```
12
Lattice="-1.4162 1.1189 -4.7500 4.0815 -2.9151 0.8144 -4.8330 -6.8126 -0.1638" Properties=species:S:1:pos:R:3 pbc="T T T"
Mn -0.9983 -1.8170 -1.5009
Mn -1.1693 -6.7918 -2.5986
Mn -2.4165 -3.4063 -0.0819
Mn 0.3231 -2.7074 -3.4519
Mn -2.4906 -5.9014 -0.6475
Mn -1.7003 -1.2623 -3.8557
Mn -0.4673 -7.3465 -0.2438
Mn 0.0000 0.0000 0.0000
Dy -4.1129 -6.6103 -3.0488
Dy 1.9453 -1.9985 -1.0507
Dy -2.3038 -4.0602 -2.9874
Dy 0.1362 -4.5486 -1.1121
```

## Properties
ΔH_f (0 K): 0.139 eV/atom
total moment: 0.00 Bohr magnetons per cell

(3)
This record from Alexandria describes crystalline Dy2Mn17 at its relaxed geometry. The functional is GGA-PBE.

Structure (extended XYZ):
```
19
Lattice="6.2819 -0.2187 0.6494 0.5630 6.2604 0.6494 -0.2478 -0.2187 6.3105" Properties=species:S:1:pos:R:3 pbc="T T T"
Mn 3.9578 0.4906 4.5650
Mn -0.1239 -0.1094 3.1553
Mn 5.6188 1.9567 3.0442
Mn 4.3802 3.8662 1.6156
Mn -0.0247 1.5644 4.7525
Mn 3.1409 -0.1094 0.3247
Mn 2.2169 1.9567 5.9937
Mn 4.4848 -0.2187 2.2074
Mn 0.9782 3.8662 4.5650
Mn 5.9396 5.2426 6.8509
Mn 4.7080 1.5644 0.6494
Mn 2.1369 4.4773 0.6494
Mn 2.6393 5.3324 3.0442
Mn 0.6575 0.5803 0.7584
Mn 1.5493 -0.2187 4.7525
Mn 0.3398 4.4773 2.2074
Mn 0.2815 3.1302 0.3247
Dy 2.3422 2.0673 2.7015
Dy 4.2549 3.7556 4.9077
```

## Properties
ΔH_f (0 K): 0.000 eV/atom
total moment: 4.21 Bohr magnetons per cell

(4)
This record from Alexandria describes crystalline DyMn2 at its relaxed geometry. The functional is GGA-PBE.

Structure (extended XYZ):
```
6
Lattice="0.0000 3.6066 3.6066 3.6066 0.0000 3.6066 3.6066 3.6066 0.0000" Properties=species:S:1:pos:R:3 pbc="T T T"
Mn 0.9016 0.9016 0.9016
Mn 2.7049 2.7049 0.9016
Mn 2.7049 0.9016 2.7049
Mn 0.9016 2.7049 2.7049
Dy 3.6066 3.6066 3.6066
Dy 5.4098 5.4098 5.4098
```

## Properties
ΔH_f (0 K): 0.149 eV/atom
total moment: 1.34 Bohr magnetons per cell